Compound: DySnGe2
Source: the Alexandria database
Functional: PBE-GGA
Structure: relaxed

Unit cell a=3.890 b=3.890 c=6.119 alpha=90.00 beta=90.00 gamma=90.00
Fractional coordinates of all 4 atoms:
Dy  0.000  0.000  0.000
Sn  0.000  0.000  0.500
Ge  0.500  0.500  0.224
Ge  0.500  0.500  0.776

Values from the calculation:
E_tot = -19.0 eV/f.u.
Formation enthalpy at 0 K = -293 meV per atom
D(E_F) = 1.54 states/eV/cell
Calculated volume = 93 Å³/f.u.
Relative energy among the computed polymorphs = 103.9 meV per atom


Compound: Dy2SnGe
Source: the Alexandria database
Functional: PBE-GGA
Structure: relaxed

Unit cell a=5.998 b=4.107 c=8.618 alpha=90.00 beta=108.16 gamma=90.00
Fractional coordinates of all 8 atoms:
Dy  0.190  0.250  0.422
Dy  0.281  0.750  0.059
Dy  0.719  0.250  0.941
Dy  0.810  0.750  0.578
Sn  0.384  0.750  0.707
Sn  0.616  0.250  0.293
Ge  0.111  0.250  0.797
Ge  0.889  0.750  0.203

Values from the calculation:
E_tot = -21.0 eV/f.u.
Formation enthalpy at 0 K = -784 meV per atom
D(E_F) = 4.90 states/eV/cell
Calculated volume = 101 Å³/f.u.


Compound: Dy6SnGe2Te3
Source: the Alexandria database
Functional: PBE-GGA
Structure: relaxed

Unit cell a=9.677 b=9.677 c=8.705 alpha=103.61 beta=103.61 gamma=25.54
Fractional coordinates of all 12 atoms:
Dy  0.009  0.009  0.249
Dy  0.326  0.326  0.433
Dy  0.334  0.334  0.893
Dy  0.666  0.666  0.107
Dy  0.674  0.674  0.567
Dy  0.991  0.991  0.751
Sn  0.500  0.500  0.000
Ge  0.168  0.168  0.335
Ge  0.832  0.832  0.665
Te  0.165  0.165  0.833
Te  0.500  0.500  0.500
Te  0.835  0.835  0.167

Values from the calculation:
Formation energy from raw total energies = -1134 meV per atom
E_tot = -63.9 eV/f.u.
D(E_F) = 2.20 states/eV/cell
Calculated volume = 341 Å³/f.u.


Compound: Dy2ZnSnGe
Source: the Alexandria database
Functional: PBE-GGA
Structure: relaxed

Unit cell a=4.422 b=7.304 c=7.582 alpha=90.00 beta=90.00 gamma=90.00
Fractional coordinates of all 10 atoms:
Dy  0.250  0.006  0.219
Dy  0.250  0.494  0.219
Dy  0.750  0.506  0.781
Dy  0.750  0.994  0.781
Zn  0.250  0.750  0.593
Zn  0.750  0.250  0.407
Sn  0.250  0.250  0.602
Sn  0.750  0.750  0.398
Ge  0.250  0.750  0.920
Ge  0.750  0.250  0.080

Values from the calculation:
E_tot = -22.2 eV/f.u.
Formation enthalpy at 0 K = -629 meV per atom
D(E_F) = 2.48 states/eV/cell
Calculated volume = 122 Å³/f.u.


Asked for density across the records above, the calculation gives 7.6, 8.5, 7.9, 7.9 g/cm³ in order.